# 1
Here is an optimized crystal structure of Ru2WCl from Alexandria via LeMat-Bulk. Energies are from PBE.

Properties
For the raw total energy, the calculation gives -95.6 eV for the cell shown. Its energy above the most stable polymorph in this dataset is 5.6 kJ/mol of atoms. The crystal system is trigonal. The total magnetization comes out at 0.00 μB per cell. For the uncorrected formation energy, the calculation gives 0.37 eV per atom.

a = 2.8418 Å, b = 2.8418 Å, c = 25.8616 Å
α = 90.00°, β = 90.00°, γ = 120.00°
Space group R3m (No. 160, hexagonal axes)
Inequivalent atoms, fractional coordinates:
Ru 0.0000 0.0000 0.0000 (multiplicity 3)
Ru 0.0000 0.0000 0.2537 (multiplicity 3)
W 0.0000 0.0000 0.5010 (multiplicity 3)
Cl 0.0000 0.0000 0.7586 (multiplicity 3)


# 2
Here is an optimized crystal structure of Ru2WCl from Alexandria via LeMat-Bulk. Energies are from PBE.

Properties
For the raw total energy, the calculation gives -119.1 eV for the cell shown. Its energy above the most stable polymorph in this dataset is 56.5 kJ/mol of atoms. The crystal system is tetragonal. The total magnetization comes out at 0.00 μB per cell. For the uncorrected formation energy, the calculation gives 0.90 eV per atom.

a = 5.654 Å, b = 5.654 Å, c = 10.380 Å
α = 90.00°, β = 90.00°, γ = 90.00°
Space group I-42d (No. 122)
Inequivalent atoms, fractional coordinates:
Ru 0.245 0.250 0.125 (multiplicity 8)
W 0.000 0.000 0.500 (multiplicity 4)
Cl 0.000 0.000 0.000 (multiplicity 4)


# 3
Here is an optimized crystal structure of Ru2WCl from Alexandria via LeMat-Bulk. Energies are from PBE.

Properties
For the raw total energy, the calculation gives -62.1 eV for the cell shown. Its energy above the most stable polymorph in this dataset is 25.9 kJ/mol of atoms. The crystal system is monoclinic. The total magnetization comes out at 0.00 μB per cell. For the uncorrected formation energy, the calculation gives 0.58 eV per atom.

a = 9.931 Å, b = 2.900 Å, c = 4.299 Å
α = 90.00°, β = 90.72°, γ = 90.00°
Space group Cm (No. 8)
Inequivalent atoms, fractional coordinates:
Ru 0.000 0.000 0.000 (multiplicity 2)
Ru 0.228 0.500 0.195 (multiplicity 2)
W 0.302 0.000 0.737 (multiplicity 2)
Cl 0.015 0.500 0.459 (multiplicity 2)


# 4
Here is an optimized crystal structure of RuW2Cl from Alexandria via LeMat-Bulk. Energies are from PBE.

Properties
For the raw total energy, the calculation gives -107.4 eV for the cell shown. Its energy above the most stable polymorph in this dataset is 0.0 kJ/mol of atoms. The crystal system is trigonal. The total magnetization comes out at 0.00 μB per cell. For the uncorrected formation energy, the calculation gives 0.30 eV per atom.

a = 2.8710 Å, b = 2.8710 Å, c = 27.5250 Å
α = 90.00°, β = 90.00°, γ = 120.00°
Space group R3m (No. 160, hexagonal axes)
Inequivalent atoms, fractional coordinates:
Ru 0.0000 0.0000 0.0000 (multiplicity 3)
W 0.0000 0.0000 0.2588 (multiplicity 3)
W 0.0000 0.0000 0.5042 (multiplicity 3)
Cl 0.0000 0.0000 0.7693 (multiplicity 3)


# 5
Here is an optimized crystal structure of Ru2WCl from Alexandria via LeMat-Bulk. Energies are from PBE.

Properties
For the raw total energy, the calculation gives -31.0 eV for the cell shown. Its energy above the most stable polymorph in this dataset is 27.2 kJ/mol of atoms. The crystal system is monoclinic. The total magnetization comes out at 0.00 μB per cell. For the uncorrected formation energy, the calculation gives 0.59 eV per atom.

a = 2.856 Å, b = 4.007 Å, c = 5.485 Å
α = 90.00°, β = 105.01°, γ = 90.00°
Space group Pm (No. 6)
Inequivalent atoms, fractional coordinates:
Ru 0.000 0.000 0.000 (multiplicity 1)
Ru 0.405 0.500 0.811 (multiplicity 1)
W 0.639 0.500 0.284 (multiplicity 1)
Cl 0.767 0.000 0.550 (multiplicity 1)


# 6
Here is an optimized crystal structure of Ru2WCl from Alexandria via LeMat-Bulk. Energies are from PBE.

Properties
For the raw total energy, the calculation gives -31.3 eV for the cell shown. Its energy above the most stable polymorph in this dataset is 20.4 kJ/mol of atoms. The crystal system is monoclinic. The total magnetization comes out at 0.00 μB per cell. For the uncorrected formation energy, the calculation gives 0.52 eV per atom.

a = 2.875 Å, b = 3.994 Å, c = 5.290 Å
α = 90.00°, β = 104.45°, γ = 90.00°
Space group P2/m (No. 10)
Inequivalent atoms, fractional coordinates:
Ru 0.132 0.000 0.256 (multiplicity 2)
W 0.500 0.500 0.000 (multiplicity 1)
Cl 0.500 0.500 0.500 (multiplicity 1)


# 7
Here is an optimized crystal structure of RuW2Cl from Alexandria via LeMat-Bulk. Energies are from PBE.

Properties
For the raw total energy, the calculation gives -66.8 eV for the cell shown. Its energy above the most stable polymorph in this dataset is 58.0 kJ/mol of atoms. The crystal system is monoclinic. The total magnetization comes out at 0.00 μB per cell. For the uncorrected formation energy, the calculation gives 0.91 eV per atom.

a = 5.363 Å, b = 8.523 Å, c = 2.851 Å
α = 90.00°, β = 107.83°, γ = 90.00°
Space group C2/m (No. 12)
Inequivalent atoms, fractional coordinates:
Ru 0.000 0.000 0.000 (multiplicity 2)
W 0.250 0.250 0.500 (multiplicity 4)
Cl 0.000 0.500 0.000 (multiplicity 2)


# 8
Here is an optimized crystal structure of Ru2WCl from Alexandria via LeMat-Bulk. Energies are from PBE.

Properties
For the raw total energy, the calculation gives -118.6 eV for the cell shown. Its energy above the most stable polymorph in this dataset is 59.1 kJ/mol of atoms. The crystal system is cubic. The total magnetization comes out at 0.00 μB per cell. For the uncorrected formation energy, the calculation gives 0.92 eV per atom.

a = 6.261 Å, b = 6.261 Å, c = 6.261 Å
α = 90.00°, β = 90.00°, γ = 90.00°
Space group Fm-3m (No. 225)
Inequivalent atoms, fractional coordinates:
Ru 0.250 0.250 0.250 (multiplicity 8)
W 0.000 0.000 0.000 (multiplicity 4)
Cl 0.000 0.000 0.500 (multiplicity 4)


# 9
Here is an optimized crystal structure of RuW2Cl from Alexandria via LeMat-Bulk. Energies are from PBE.

Properties
For the raw total energy, the calculation gives -66.0 eV for the cell shown. Its energy above the most stable polymorph in this dataset is 68.2 kJ/mol of atoms. The crystal system is orthorhombic. The total magnetization comes out at 0.00 μB per cell. For the uncorrected formation energy, the calculation gives 1.01 eV per atom.

a = 5.244 Å, b = 8.456 Å, c = 2.826 Å
α = 90.00°, β = 90.00°, γ = 90.00°
Space group Cmmm (No. 65)
Inequivalent atoms, fractional coordinates:
Ru 0.000 0.000 0.000 (multiplicity 2)
W 0.250 0.250 0.500 (multiplicity 4)
Cl 0.000 0.500 0.000 (multiplicity 2)


# 10
Here is an optimized crystal structure of RuW2Cl from Alexandria via LeMat-Bulk. Energies are from PBE.

Properties
For the raw total energy, the calculation gives -126.4 eV for the cell shown. Its energy above the most stable polymorph in this dataset is 101.8 kJ/mol of atoms. The crystal system is tetragonal. The total magnetization comes out at 0.00 μB per cell. For the uncorrected formation energy, the calculation gives 1.36 eV per atom.

a = 5.741 Å, b = 5.741 Å, c = 10.047 Å
α = 90.00°, β = 90.00°, γ = 90.00°
Space group I-42d (No. 122)
Inequivalent atoms, fractional coordinates:
Ru 0.000 0.000 0.000 (multiplicity 4)
W 0.243 0.250 0.625 (multiplicity 8)
Cl 0.000 0.000 0.500 (multiplicity 4)


# 11
Here is an optimized crystal structure of Ru2WCl from Alexandria via LeMat-Bulk. Energies are from PBE.

Properties
For the raw total energy, the calculation gives -58.3 eV for the cell shown. Its energy above the most stable polymorph in this dataset is 71.3 kJ/mol of atoms. The crystal system is tetragonal. The total magnetization comes out at 0.00 μB per cell. For the uncorrected formation energy, the calculation gives 1.05 eV per atom.

a = 3.712 Å, b = 3.712 Å, c = 8.833 Å
α = 90.00°, β = 90.00°, γ = 90.00°
Space group I-4m2 (No. 119)
Inequivalent atoms, fractional coordinates:
Ru 0.000 0.000 0.000 (multiplicity 2)
Ru 0.000 0.500 0.250 (multiplicity 2)
W 0.000 0.500 0.750 (multiplicity 2)
Cl 0.000 0.000 0.500 (multiplicity 2)


# 12
Here is an optimized crystal structure of RuW2Cl from Alexandria via LeMat-Bulk. Energies are from PBE.

Properties
For the raw total energy, the calculation gives -34.9 eV for the cell shown. Its energy above the most stable polymorph in this dataset is 22.3 kJ/mol of atoms. The crystal system is tetragonal. The total magnetization comes out at 0.00 μB per cell. For the uncorrected formation energy, the calculation gives 0.54 eV per atom.

a = 2.912 Å, b = 2.912 Å, c = 6.945 Å
α = 90.00°, β = 90.00°, γ = 90.00°
Space group P4/mmm (No. 123)
Inequivalent atoms, fractional coordinates:
Ru 0.000 0.000 0.000 (multiplicity 1)
W 0.500 0.500 0.258 (multiplicity 2)
Cl 0.000 0.000 0.500 (multiplicity 1)


# 13
Here is an optimized crystal structure of Ru2WCl from Alexandria via LeMat-Bulk. Energies are from PBE.

Properties
For the raw total energy, the calculation gives -31.4 eV for the cell shown. Its energy above the most stable polymorph in this dataset is 18.0 kJ/mol of atoms. The crystal system is tetragonal. The total magnetization comes out at 0.00 μB per cell. For the uncorrected formation energy, the calculation gives 0.50 eV per atom.

a = 2.808 Å, b = 2.808 Å, c = 8.798 Å
α = 90.00°, β = 90.00°, γ = 90.00°
Space group P4mm (No. 99)
Inequivalent atoms, fractional coordinates:
Ru 0.000 0.000 0.000 (multiplicity 1)
Ru 0.500 0.500 0.209 (multiplicity 1)
W 0.000 0.000 0.416 (multiplicity 1)
Cl 0.500 0.500 0.607 (multiplicity 1)


# 14
Here is an optimized crystal structure of Ru3WCl from Alexandria via LeMat-Bulk. Energies are from PBE.

Properties
For the raw total energy, the calculation gives -35.5 eV for the cell shown. Its energy above the most stable polymorph in this dataset is 0.0 kJ/mol of atoms. The crystal system is cubic. The total magnetization comes out at 0.00 μB per cell. For the uncorrected formation energy, the calculation gives 1.43 eV per atom.

a = 4.309 Å, b = 4.309 Å, c = 4.309 Å
α = 90.00°, β = 90.00°, γ = 90.00°
Space group Pm-3m (No. 221)
Inequivalent atoms, fractional coordinates:
Ru 0.000 0.000 0.500 (multiplicity 3)
W 0.500 0.500 0.500 (multiplicity 1)
Cl 0.000 0.000 0.000 (multiplicity 1)


# 15
Here is an optimized crystal structure of RuW2Cl from Alexandria via LeMat-Bulk. Energies are from PBE.

Properties
For the raw total energy, the calculation gives -130.4 eV for the cell shown. Its energy above the most stable polymorph in this dataset is 77.8 kJ/mol of atoms. The crystal system is cubic. The total magnetization comes out at 0.01 μB per cell. For the uncorrected formation energy, the calculation gives 1.11 eV per atom.

a = 6.340 Å, b = 6.340 Å, c = 6.340 Å
α = 90.00°, β = 90.00°, γ = 90.00°
Space group F-43m (No. 216)
Inequivalent atoms, fractional coordinates:
Ru 0.000 0.000 0.000 (multiplicity 4)
W 0.000 0.000 0.500 (multiplicity 4)
W 0.250 0.250 0.750 (multiplicity 4)
Cl 0.250 0.250 0.250 (multiplicity 4)